DFT (PBE) results for a geometry-optimized Ba4AsRu structure.

Results
Its density of states at the Fermi level is 37.402 states/eV/cell. The calculation puts the total energy at -0.101 hartree per atom. The energy of formation comes out at 0.8619 eV per atom.

a = 9.6886 Å, b = 9.6886 Å, c = 9.6886 Å
α = 90.00°, β = 90.00°, γ = 90.00°
Space group F-43m (No. 216)
Unique sites:
Ba (0.1254, 0.1254, 0.1254)
As (0.0000, 0.0000, 0.5000)
Ru (0.2500, 0.2500, 0.7500)